Entry 1:
A relaxed structure of Rb2ZnPdBr6, computed with PBE.

The structure in POSCAR format:
```
Rb2ZnPdBr6
1.0
-3.744 3.744 5.374
3.744 -3.744 5.374
3.744 3.744 -5.374
Rb Zn Pd Br
2 1 1 6
Cartesian
3.744 0.000 2.687
0.000 3.744 2.687
0.000 0.000 0.000
0.000 0.000 5.374
1.841 1.841 0.000
1.903 -1.903 5.374
0.000 0.000 2.808
0.000 0.000 7.940
-1.903 1.903 5.374
1.903 1.903 5.374
```

Calculated values
Uncorrected formation energy = -0.974 eV/atom
Calculated volume = 30.13 Å³/atom
Density of states at the Fermi level = 0.24 states/eV per atom
Calculated total energy = -28.2 eV per cell
Crystal system = tetragonal
Space-group type = I4/mmm (139)



Entry 2:
A relaxed structure of Tb6Ho3Er, computed with PBE.

The structure in POSCAR format:
```
Tb6Ho3Er
1.0
4.802 -10.439 0.000
4.802 10.439 0.000
0.000 0.000 6.331
Tb Ho Er
12 6 2
Cartesian
4.802 10.117 3.165
3.112 4.574 6.296
3.059 1.258 4.766
4.802 4.161 3.368
3.059 -1.258 1.601
6.492 4.574 6.296
3.112 -4.574 3.130
6.545 1.258 4.766
4.802 -4.161 0.203
6.545 -1.258 1.601
6.492 -4.574 3.130
4.802 -10.117 0.000
1.618 2.643 2.098
1.618 -2.643 5.263
4.802 1.678 1.454
4.802 -1.678 4.619
7.985 2.643 2.098
7.985 -2.643 5.263
4.802 7.091 1.931
4.802 -7.091 5.097
```

Calculated values
Calculated volume = 31.73 Å³/atom
Density of states at the Fermi level = 1.61 states/eV per atom
Calculated total energy = -89.7 eV per cell
Crystal system = orthorhombic
Energy of formation from the pure elements = 1.25 eV per formula unit
Distance to the lowest polymorph of the same formula = 0.0 meV per atom
Space-group type = Cmc2_1 (36)



Entry 3:
A relaxed structure of Ti6Ni16Ge7, computed with PBE.

The structure in POSCAR format:
```
Ti6Ni16Ge7
1.0
0.000 5.703 5.703
5.703 0.000 5.703
5.703 5.703 0.000
Ti Ni Ge
6 16 7
Cartesian
5.703 5.703 2.282
5.703 2.282 5.703
9.123 5.703 5.703
2.282 5.703 5.703
5.703 9.123 5.703
5.703 5.703 9.123
7.050 4.355 4.355
1.880 1.880 1.880
3.823 3.823 1.880
3.823 1.880 3.823
4.355 4.355 4.355
7.050 7.050 4.355
7.050 4.355 7.050
9.525 7.582 7.582
1.880 3.823 3.823
4.355 7.050 4.355
4.355 4.355 7.050
7.050 7.050 7.050
7.582 9.525 7.582
7.582 7.582 9.525
9.525 9.525 9.525
4.355 7.050 7.050
2.851 2.851 0.000
2.851 0.000 2.851
5.703 2.851 2.851
0.000 2.851 2.851
2.851 5.703 2.851
2.851 2.851 5.703
5.703 5.703 5.703
```

Calculated values
Calculated volume = 12.79 Å³/atom
Density of states at the Fermi level = 0.77 states/eV per atom
Calculated total energy = -186.4 eV per cell
Crystal system = cubic
Energy of formation from the pure elements = -14.22 eV per formula unit
Space-group type = Fm-3m (225)



Entry 4:
A relaxed structure of K3TlAu, computed with PBE.

The structure in POSCAR format:
```
K3TlAu
1.0
6.296 0.000 0.000
0.000 6.296 0.000
0.000 0.000 6.296
K Tl Au
3 1 1
Cartesian
0.000 0.000 3.148
0.000 3.148 0.000
3.148 0.000 0.000
3.148 3.148 3.148
0.000 0.000 0.000
```

Calculated values
Calculated volume = 49.92 Å³/atom
Density of states at the Fermi level = 0.64 states/eV per atom
Calculated total energy = -9.1 eV per cell
Crystal system = cubic
Energy of formation from the pure elements = -0.15 eV per formula unit
Distance to the lowest polymorph of the same formula = 130.0 meV per atom
Space-group type = Pm-3m (221)



Entry 5:
A relaxed structure of AcHoCu, computed with PBE.

The structure in POSCAR format:
```
AcHoCu
1.0
6.800 0.000 0.000
0.000 5.260 0.000
0.000 0.000 9.550
Ac Ho Cu
4 4 4
Cartesian
1.021 1.315 0.874
2.379 3.945 5.649
4.421 1.315 3.901
5.780 3.945 8.676
0.011 1.315 6.440
3.389 3.945 1.666
3.411 1.315 7.884
6.789 3.945 3.109
1.290 1.315 3.880
2.110 3.945 8.654
4.690 1.315 0.895
5.510 3.945 5.670
```

Calculated values
Calculated volume = 28.46 Å³/atom
Density of states at the Fermi level = 1.04 states/eV per atom
Calculated total energy = -51.7 eV per cell
Crystal system = orthorhombic
Energy of formation from the pure elements = -0.15 eV per formula unit
Distance to the lowest polymorph of the same formula = 9.9 meV per atom
Space-group type = Pnma (62)



Entry 6:
A relaxed structure of Li2RePd, computed with PBE.

The structure in POSCAR format:
```
Li2RePd
1.0
2.696 0.000 0.000
-1.348 2.335 0.000
0.000 0.000 28.238
Li Re Pd
6 3 3
Cartesian
0.000 0.000 2.565
0.000 0.000 25.672
0.000 1.557 16.260
0.000 1.557 21.390
1.348 0.778 6.847
1.348 0.778 11.978
0.000 0.000 0.000
0.000 1.557 18.825
1.348 0.778 9.412
0.000 0.000 14.119
0.000 1.557 4.706
1.348 0.778 23.531
```

Calculated values
Calculated volume = 14.81 Å³/atom
Density of states at the Fermi level = 0.73 states/eV per atom
Calculated total energy = -63.3 eV per cell
Crystal system = trigonal
Energy of formation from the pure elements = 0.35 eV per formula unit
Distance to the lowest polymorph of the same formula = 0.0 meV per atom
Space-group type = R-3m (166)



Entry 7:
A relaxed structure of Sm2GeCl, computed with PBE.

The structure in POSCAR format:
```
Sm2GeCl
1.0
4.238 0.000 0.000
-2.119 3.671 0.000
0.000 0.000 20.283
Sm Ge Cl
6 3 3
Cartesian
0.000 0.000 4.921
0.000 0.000 15.362
0.000 2.447 8.601
0.000 2.447 18.443
2.119 1.224 1.840
2.119 1.224 11.682
0.000 0.000 10.142
0.000 2.447 3.381
2.119 1.224 16.903
0.000 0.000 0.000
0.000 2.447 13.522
2.119 1.224 6.761
```

Calculated values
Uncorrected formation energy = -1.238 eV/atom
Calculated volume = 26.30 Å³/atom
Density of states at the Fermi level = 0.51 states/eV per atom
Calculated total energy = -62.6 eV per cell
Crystal system = trigonal
Distance to the lowest polymorph of the same formula = 17.1 meV per atom
Space-group type = R-3m (166)



Entry 8:
A relaxed structure of In3TeCl, computed with PBE.

The structure in POSCAR format:
```
In3TeCl
1.0
5.742 0.000 0.000
0.000 5.742 0.000
0.000 0.000 5.742
In Te Cl
3 1 1
Cartesian
0.000 0.000 2.871
0.000 2.871 0.000
2.871 0.000 0.000
2.871 2.871 2.871
0.000 0.000 0.000
```

Calculated values
Uncorrected formation energy = -0.092 eV/atom
Calculated volume = 37.87 Å³/atom
Density of states at the Fermi level = 0.00 states/eV per atom
Calculated total energy = -13.7 eV per cell
Crystal system = cubic
Distance to the lowest polymorph of the same formula = 238.3 meV per atom
Space-group type = Pm-3m (221)